1.
First-principles (PBE) data for a geometry-optimized Fe4AsBr structure, as listed in Alexandria.

Cell lengths 5.030, 5.030, 5.030 Å; angles 60.00, 60.00, 60.00 degrees
Atoms (fractional coordinates):
Br1 0.000 0.000 0.000
Fe1 0.376 0.871 0.376
Fe2 0.376 0.376 0.871
Fe3 0.871 0.376 0.376
Fe4 0.376 0.376 0.376
As1 0.750 0.750 0.750

Output
formation energy without anion corrections: 574 meV per atom
space group: F-43m (216)


2.
First-principles (PBE) data for a geometry-optimized Y2BiPd structure, as listed in Alexandria.

Cell lengths 3.709, 3.709, 7.442 Å; angles 90.00, 90.00, 90.00 degrees
Atoms (fractional coordinates):
Y1 0.000 0.000 0.223
Y2 0.000 0.000 0.777
Pd1 0.500 0.500 0.000
Bi1 0.500 0.500 0.500

Output
E_form: -711 meV/atom
space group: P4/mmm (123)


3.
First-principles (PBE) data for a geometry-optimized TlSbOs2 structure, as listed in Alexandria.

Cell lengths 2.913, 2.942, 10.115 Å; angles 97.65, 90.00, 90.00 degrees
Atoms (fractional coordinates):
Sb1 0.000 0.395 0.443
Os1 0.500 0.285 0.204
Os2 0.000 0.714 0.049
Tl1 0.500 0.106 0.804

Output
formation energy without anion corrections: 468 meV per atom
space group: Pm (6)


4.
First-principles (PBE) data for a geometry-optimized CeHoBi structure, as listed in Alexandria.

Cell lengths 6.334, 6.334, 6.552 Å; angles 86.17, 127.24, 116.30 degrees
Atoms (fractional coordinates):
Bi1 0.757 0.409 0.166
Bi2 0.243 0.591 0.834
Ce1 0.784 0.075 0.859
Ce2 0.216 0.925 0.141
Ho1 0.500 0.500 0.500
Ho2 0.000 0.000 0.500

Output
E_form: -269 meV/atom
space group: C2/m (12)


5.
First-principles (PBE) data for a geometry-optimized K2Zn2Sb3 structure, as listed in Alexandria.

Cell lengths 5.623, 6.973, 10.978 Å; angles 90.00, 104.84, 90.00 degrees
Atoms (fractional coordinates):
Zn1 0.698 0.565 0.397
Zn2 0.302 0.065 0.603
Zn3 0.302 0.435 0.603
Zn4 0.698 0.935 0.397
Sb1 0.571 0.045 0.141
Sb2 0.777 0.250 0.553
Sb3 0.429 0.955 0.859
Sb4 0.429 0.545 0.859
Sb5 0.223 0.750 0.447
Sb6 0.571 0.455 0.141
K1 0.957 0.250 0.915
K2 0.043 0.750 0.085
K3 0.847 0.750 0.694
K4 0.153 0.250 0.306

Output
formation energy without anion corrections: -196 meV per atom
space group: Cmcm (63)


6.
First-principles (PBE) data for a geometry-optimized PmSmCo structure, as listed in Alexandria.

Cell lengths 4.791, 4.791, 4.791 Å; angles 60.00, 60.00, 60.00 degrees
Atoms (fractional coordinates):
Co1 0.250 0.250 0.250
Sm1 0.500 0.500 0.500
Pm1 0.000 0.000 0.000

Output
E_form: 24 meV/atom
space group: F-43m (216)


Calculated final energy, -6.121; -6.211; -6.769; -5.067; -2.641; -5.501 eV/atom (same order as the records).